# Mn3TcPb

A relaxed Mn3TcPb crystal (PBE, the Alexandria database).

Lattice parameters (Å, degrees): 4.7112 4.7112 4.7112 90.00 90.00 90.00
Last column: nearest neighbours and their distance in Å.
Element x y z (fractional)
1 Mn 0.0000 0.0000 0.5000  2 Tc 2.36
2 Mn 0.5000 0.0000 0.0000  2 Tc 2.36
3 Mn 0.0000 0.5000 0.0000  2 Tc 2.36
4 Tc 0.0000 0.0000 0.0000  6 Mn 2.36
5 Pb 0.5000 0.5000 0.5000  12 Mn 3.33

The calculation puts the formation energy at 1023 meV per atom. As for the space group: No. 221. The calculation puts the uncorrected energy at -36.47 eV for the cell shown. The calculation puts the spin magnetization at 9.687 μB/f.u.